Model P:
Material: InSi2Sn
Method: DFT, GGA-PBE
State: optimized geometry

```
8
Lattice="6.1265 0.0000 0.0000 0.0000 6.1265 0.0000 3.0632 3.0632 5.9747" Properties=species:S:1:pos:R:3 pbc="T T T"
Si 1.5196 4.5949 1.4937
Sn 6.1265 3.0632 2.9873
Si 4.5949 4.5828 4.4810
Si 4.6069 1.5316 1.4937
In 3.0632 3.0632 0.0000
In 3.0632 6.1265 2.9873
Sn 0.0000 0.0000 0.0000
Si 7.6581 7.6702 4.4810
```

Output
SG = I-42d (122)

Model Q:
Material: InSi2Sn
Method: DFT, GGA-PBE
State: optimized geometry

```
4
Lattice="-0.5030 0.4511 4.8805 -1.4635 4.2860 1.9400 -4.4908 0.3990 1.9873" Properties=species:S:1:pos:R:3 pbc="T T T"
In 0.0000 0.0000 0.0000
Si -4.8430 3.8521 6.6059
Si -1.6143 1.2840 2.2020
Sn -3.2286 2.5681 4.4039
```

Output
SG = Fm-3m (225)

In meV per atom, relative to the most stable structure: model P 0; model Q 178.

Model P:
Material: InSiSn2
Method: DFT, GGA-PBE
State: optimized geometry

```
8
Lattice="-2.0513 -1.7218 5.8647 -2.6066 -5.3490 -2.4821 2.9363 -6.5456 2.6492" Properties=species:S:1:pos:R:3 pbc="T T T"
Sn 0.3716 -7.7330 3.1754
Sn -0.8078 -3.3257 3.8286
In 0.0000 0.0000 0.0000
Sn -1.7895 -10.9239 5.0266
Si -0.9996 -7.7150 0.9292
In -0.7220 -5.9014 5.1026
Si -2.3289 -3.5354 1.6913
Sn -1.2175 -5.2502 0.0330
```

Output
SG = I-42d (122)

Model Q:
Material: InSiSn2
Method: DFT, GGA-PBE
State: optimized geometry

```
4
Lattice="0.0000 3.6542 3.6542 3.6542 0.0000 3.6542 3.6542 3.6542 0.0000" Properties=species:S:1:pos:R:3 pbc="T T T"
Sn 1.8271 1.8271 1.8271
Si 0.0000 0.0000 0.0000
In 3.6542 3.6542 3.6542
Sn 5.4812 5.4812 5.4812
```

Output
SG = Fm-3m (225)

In meV per atom, relative to the most stable structure: model P 0; model Q 130.

Model P:
Material: InSi2Sn2
Method: DFT, GGA-PBE
State: optimized geometry

```
5
Lattice="5.1209 0.0000 0.0000 0.0000 5.1209 0.0000 2.5605 2.5605 4.6216" Properties=species:S:1:pos:R:3 pbc="T T T"
In 0.0000 0.0000 0.0000
Sn 5.1209 2.5605 2.3108
Si 2.5605 2.5605 1.1896
Si 5.1209 5.1209 3.4320
Sn 2.5605 5.1209 2.3108
```

Output
SG = I4/mmm (139)

Model Q:
Material: InSi2Sn2
Method: DFT, GGA-PBE
State: optimized geometry

```
10
Lattice="7.7069 0.0000 0.0000 0.0000 7.7069 0.0000 0.0000 0.0000 3.8781" Properties=species:S:1:pos:R:3 pbc="T T T"
Sn 2.5132 1.3402 1.9391
Sn 6.3666 2.5132 1.9391
Sn 5.1937 6.3666 1.9391
Si 4.7358 0.8824 0.0000
Si 0.8824 2.9710 0.0000
Si 2.9710 6.8245 0.0000
In 0.0000 0.0000 0.0000
In 3.8534 3.8534 0.0000
Sn 1.3402 5.1937 1.9391
Si 6.8245 4.7358 0.0000
```

Output
SG = P4/mbm (127)

In meV per atom, relative to the most stable structure: model P 0; model Q 70.

Model P:
Material: SrInSi3
Method: DFT, GGA-PBE
State: optimized geometry

```
5
Lattice="-1.2818 0.2242 -5.0386 3.6815 -3.5118 -1.0928 -3.4473 -3.8338 0.7064" Properties=species:S:1:pos:R:3 pbc="T T T"
In 0.0000 0.0000 0.0000
Si -0.6409 0.1121 -2.5193
Si 1.8408 -1.7559 -0.5464
Sr -0.5238 -3.5607 -2.7125
Si -1.7236 -1.9169 0.3532
```

Output
SG = Pm-3m (221)

Model Q:
Material: SrInSi3
Method: DFT, GGA-PBE
State: optimized geometry

```
5
Lattice="5.5857 0.0000 0.0000 0.0000 5.5857 0.0000 0.0000 0.0000 5.5857" Properties=species:S:1:pos:R:3 pbc="T T T"
In 2.7929 2.7929 2.7929
Si 0.0000 0.0000 2.7929
Si 0.0000 2.7929 0.0000
Sr 0.0000 0.0000 0.0000
Si 2.7929 0.0000 0.0000
```

Output
SG = Pm-3m (221)

In meV per atom, relative to the most stable structure: model P 0; model Q 799.